[1]
TlSbIr3, optimized geometry, DFT PBE; size of the total moment = 0.0 μB/f.u.; excess energy over the best structure of this formula in the dataset = 0.000 eV per atom; calculated volume = 23.712 Å³/atom; raw formation energy = 1.485 eV per atom
1.0
4.9126 0.0000 0.0000
0.0000 4.9126 0.0000
0.0000 0.0000 4.9126
Tl Sb Ir
1 1 3
direct
0.0000 0.0000 0.0000
0.5000 0.5000 0.5000
0.0000 0.5000 0.5000
0.5000 0.0000 0.5000
0.5000 0.5000 0.0000

[2]
La8TbDy3, optimized geometry, DFT PBE; size of the total moment = 0.0 μB/f.u.; calculated volume = 37.496 Å³/atom; uncorrected energy = -53.97 eV/cell
1.0
-3.3366 5.6314 5.9866
3.3366 -5.6314 5.9866
3.3366 5.6314 -5.9866
La Tb Dy
8 1 3
direct
0.0913 0.2497 0.8411
0.2212 0.2256 0.4999
0.2744 0.7744 0.9956
0.4085 0.2502 0.1589
0.5915 0.7503 0.8416
0.7256 0.7213 0.5001
0.7788 0.2787 0.0044
0.9087 0.7498 0.1584
0.5000 0.5000 0.0000
0.0000 0.0000 0.0000
0.2511 0.7511 0.5000
0.7489 0.2489 0.5000

[3]
Ce3Er2TmAs6, optimized geometry, DFT PBE; size of the total moment = 2.0 μB/f.u.; calculated volume = 25.196 Å³/atom; uncorrected energy = -76.91 eV/cell
1.0
3.5945 -6.2257 0.0000
3.5945 6.2257 0.0000
-2.3972 0.0000 6.7553
Ce Er Tm As
3 2 1 6
direct
0.0000 0.0000 0.0000
0.3332 0.6668 0.0000
0.6668 0.3332 0.0000
0.1666 0.8334 0.5000
0.8334 0.1666 0.5000
0.5000 0.5000 0.5000
0.0865 0.4192 0.2575
0.2483 0.2483 0.7428
0.4192 0.0865 0.2575
0.5808 0.9135 0.7425
0.7517 0.7517 0.2572
0.9135 0.5808 0.7425

[4]
KTa2Ag, optimized geometry, DFT PBE; size of the total moment = 0.0 μB/f.u.; excess energy over the best structure of this formula in the dataset = 0.650 eV per atom; calculated volume = 22.039 Å³/atom
1.0
2.7368 0.0000 0.0000
0.0000 5.6025 0.0000
0.0000 0.0000 5.7496
K Ta Ag
1 2 1
direct
0.0000 0.0000 0.0000
0.5000 0.2584 0.5000
0.5000 0.7416 0.5000
0.0000 0.5000 0.0000